<P>
A geometry-optimized Rb3HgBr6 structure. Source: Alexandria via LeMat-Bulk, functional GGA-PBE.

Structure (POSCAR):
```
Rb3HgBr6
1.0
6.170 0.000 0.000
0.000 12.118 -0.119
0.000 -2.820 11.786
Rb Hg Br
6 2 12
Direct
0.970 0.698 0.934
0.970 0.066 0.302
0.470 0.934 0.698
0.953 0.618 0.382
0.453 0.382 0.618
0.470 0.302 0.066
0.060 0.205 0.795
0.560 0.795 0.205
0.142 0.068 0.932
0.715 0.338 0.341
0.166 0.424 0.878
0.715 0.659 0.662
0.215 0.341 0.338
0.642 0.932 0.068
0.666 0.576 0.122
0.627 0.211 0.789
0.215 0.662 0.659
0.666 0.878 0.424
0.166 0.122 0.576
0.127 0.789 0.211
```

Properties
The calculation puts the density of states at the Fermi level at 0.7269 states/eV/atom. Its space group is Cmc2_1, No. 36.

=====

<Q>
A geometry-optimized Rb3HgBr6 structure. Source: Alexandria via LeMat-Bulk, functional GGA-PBE.

Structure (POSCAR):
```
Rb3HgBr6
1.0
-6.280 4.358 -3.587
-2.341 -6.894 -4.277
-7.940 -2.813 0.544
Rb Br Hg
3 6 1
Direct
0.500 0.500 0.000
0.750 0.250 0.500
0.250 0.750 0.500
0.231 0.769 0.000
0.769 0.231 0.000
0.231 0.231 0.000
0.231 0.231 0.538
0.769 0.769 0.462
0.769 0.769 0.000
0.000 0.000 0.000
```

Properties
The calculation puts the density of states at the Fermi level at 0.7921 states/eV/atom. Its space group is I4/mmm, No. 139.

=====

Bottom line: <P>, by a margin of 123 meV per atom.

=====

<P>
A geometry-optimized RbHg2Br2 structure. Source: Alexandria via LeMat-Bulk, functional GGA-PBE.

Structure (POSCAR):
```
RbHg2Br2
1.0
9.379 0.000 0.000
0.000 9.379 0.000
0.000 0.000 5.497
Hg Rb Br
4 2 4
Direct
0.107 0.607 0.500
0.393 0.107 0.500
0.607 0.893 0.500
0.893 0.393 0.500
0.000 0.000 0.000
0.500 0.500 0.000
0.303 0.197 0.000
0.697 0.803 0.000
0.803 0.303 0.000
0.197 0.697 0.000
```

Properties
The calculation puts the density of states at the Fermi level at 0.1435 states/eV/atom. Its space group is P4/mbm, No. 127.

=====

<Q>
A geometry-optimized RbHg2Br2 structure. Source: Alexandria via LeMat-Bulk, functional GGA-PBE.

Structure (POSCAR):
```
RbHg2Br2
1.0
4.220 0.000 0.000
0.000 4.220 0.000
2.110 2.110 9.344
Rb Hg Br
1 2 2
Direct
0.000 0.000 0.000
0.750 0.250 0.500
0.250 0.750 0.500
0.395 0.395 0.211
0.605 0.605 0.789
```

Properties
The calculation puts the density of states at the Fermi level at 0.5211 states/eV/atom. Its space group is I4/mmm, No. 139.

=====

Bottom line: <Q>, by a margin of 46 meV per atom.

=====

<P>
A geometry-optimized ReHg2Br structure. Source: Alexandria via LeMat-Bulk, functional GGA-PBE.

Structure (POSCAR):
```
ReHg2Br
1.0
5.338 -0.049 0.000
-1.967 4.963 0.000
0.000 0.000 3.052
Re Hg Br
1 2 1
Direct
0.500 0.000 0.500
0.500 0.500 0.000
0.000 0.000 0.000
0.000 0.500 0.500
```

Properties
The calculation puts the density of states at the Fermi level at 0.4616 states/eV/atom. Its space group is Cmmm, No. 65.

=====

<Q>
A geometry-optimized ReHg2Br structure. Source: Alexandria via LeMat-Bulk, functional GGA-PBE.

Structure (POSCAR):
```
ReHg2Br
1.0
7.431 0.028 -0.049
6.824 2.942 -0.049
1.625 0.339 4.582
Re Br Hg
1 1 2
Direct
0.487 0.487 0.513
0.838 0.838 0.662
0.166 0.166 0.335
0.010 0.010 0.990
```

Properties
The calculation puts the density of states at the Fermi level at 0.3063 states/eV/atom. Its space group is Imm2, No. 44.

=====

Bottom line: <Q>, by a margin of 350 meV per atom.

=====

<P>
A geometry-optimized Re2HgBr structure. Source: Alexandria via LeMat-Bulk, functional GGA-PBE.

Structure (POSCAR):
```
Re2HgBr
1.0
4.216 0.000 0.000
0.000 4.216 0.000
2.108 2.108 9.283
Br Hg Re
2 2 4
Direct
0.250 0.750 0.500
0.500 0.500 0.000
0.000 0.000 0.000
0.750 0.250 0.500
0.533 0.125 0.250
0.875 0.783 0.750
0.217 0.625 0.250
0.375 0.467 0.750
```

Properties
The calculation puts the density of states at the Fermi level at 0.9764 states/eV/atom. Its space group is I-42d, No. 122.

=====

<Q>
A geometry-optimized Re2HgBr structure. Source: Alexandria via LeMat-Bulk, functional GGA-PBE.

Structure (POSCAR):
```
Re2HgBr
1.0
4.756 -0.008 -0.006
3.847 2.796 -0.006
1.175 0.381 5.406
Br Re Hg
1 2 1
Direct
0.750 0.750 0.750
0.997 0.997 0.952
0.503 0.503 0.548
0.250 0.250 0.250
```

Properties
The calculation puts the density of states at the Fermi level at 0.8992 states/eV/atom. Its space group is C2/m, No. 12.

=====

<R>
A geometry-optimized Re2HgBr structure. Source: Alexandria via LeMat-Bulk, functional GGA-PBE.

Structure (POSCAR):
```
Re2HgBr
1.0
-0.028 -4.512 1.083
4.605 -0.160 -0.551
0.392 0.732 3.060
Re Br Hg
2 1 1
Direct
0.500 0.500 0.000
0.000 0.000 0.000
0.500 0.000 0.500
0.000 0.500 0.500
```

Properties
The calculation puts the density of states at the Fermi level at 1.0519 states/eV/atom. Its space group is P4/mmm, No. 123.

=====

Bottom line: <Q>, by a margin of 113 meV per atom.